(1)
# GGA-PBE TaFe6, optimized geometry
# - energy above the most stable polymorph in this dataset (meV/atom) = 760.1
# - E (eV per formula unit) = -49.5
data_TaFe6
_chemical_formula_sum 'Ta1 Fe6'
_cell_length_a 5.0590
_cell_length_b 5.0590
_cell_length_c 5.0590
_cell_angle_alpha 90.00
_cell_angle_beta 90.00
_cell_angle_gamma 90.00
_space_group_name_H-M_alt 'P m -3 m'
_space_group_IT_number 221
_space_group_name_Hall '-P 4 2 3'
loop_
_atom_site_label
_atom_site_type_symbol
_atom_site_fract_x
_atom_site_fract_y
_atom_site_fract_z
Ta1 Ta 0.0000 0.0000 0.0000
Fe1 Fe 0.1905 0.5000 0.5000

(2)
# GGA-PBE TaFe, optimized geometry
# - E (eV per formula unit) = -19.9
data_TaFe
_chemical_formula_sum 'Ta3 Fe3'
_cell_length_a 2.9803
_cell_length_b 2.9803
_cell_length_c 11.7328
_cell_angle_alpha 90.00
_cell_angle_beta 90.00
_cell_angle_gamma 120.00
_space_group_name_H-M_alt 'R -3 m'
_space_group_IT_number 166
_space_group_name_Hall '-R 3 2"'
loop_
_atom_site_label
_atom_site_type_symbol
_atom_site_fract_x
_atom_site_fract_y
_atom_site_fract_z
Ta1 Ta 0.0000 0.0000 0.0000
Fe1 Fe 0.0000 0.0000 0.5000

(3)
# GGA-PBE TaFe2, optimized geometry
# - E (eV per formula unit) = -28.6
data_TaFe2
_chemical_formula_sum 'Ta2 Fe4'
_cell_length_a 4.3321
_cell_length_b 4.3321
_cell_length_c 4.9454
_cell_angle_alpha 90.00
_cell_angle_beta 90.00
_cell_angle_gamma 120.00
_space_group_name_H-M_alt 'P 63/m m c'
_space_group_IT_number 194
_space_group_name_Hall '-P 6c 2c'
loop_
_atom_site_label
_atom_site_type_symbol
_atom_site_fract_x
_atom_site_fract_y
_atom_site_fract_z
Ta1 Ta 0.3333 0.6667 0.2500
Fe1 Fe 0.0000 0.0000 0.0000
Fe2 Fe 0.3333 0.6667 0.7500